(1)
Here is a geometry-optimized ZnNiRhCl2 structure from Alexandria. Energies are from PBE.

a b c (Å): 4.6129 5.0229 4.6129
angles (deg): 90.00 90.00 90.00
Closest atoms and distances in Å follow each position.
Atoms (fractional coordinates):
Cl (0.0000, 0.0000, 0.5000)  2 Zn 2.31
Cl (0.5000, 0.0000, 0.0000)  2 Zn 2.31
Ni (0.5000, 0.5000, 0.5000)  4 Rh 3.26, 8 Cl 3.41
Rh (0.0000, 0.5000, 0.0000)  2 Zn 2.51
Zn (0.0000, 0.0000, 0.0000)  4 Cl 2.31, 2 Rh 2.51

Calculated values
- Theoretical density: 4.63 g cm⁻³
- DFT total energy: -14.1 eV/cell
- Energy relative to the elements, uncorrected: 0.798 eV/atom

(2)
Here is a geometry-optimized NiRu2Cl structure from Alexandria. Energies are from PBE.

a b c (Å): 2.8204 2.8204 7.1405
angles (deg): 90.00 90.00 90.00
Closest atoms and distances in Å follow each position.
Atoms (fractional coordinates):
Cl (0.0000, 0.0000, 0.5009)  4 Ni 2.71, 4 Ru 2.75, 4 Cl 2.82
Ru (0.5000, 0.5000, 0.2367)  8 Ru 2.59-2.82, 4 Cl 2.75
Ru (0.0000, 0.0000, 0.0048)  8 Ru 2.59-2.82, 4 Ni 2.66
Ni (0.5000, 0.5000, 0.7576)  4 Ru 2.66, 4 Cl 2.71, 4 Ni 2.82

Calculated values
- Theoretical density: 8.66 g cm⁻³
- DFT total energy: -24.6 eV/cell
- Energy relative to the elements, uncorrected: 0.399 eV/atom
- Distance to the lowest polymorph of the same formula: 49 meV/atom

(3)
Here is a geometry-optimized NiRu2Cl structure from Alexandria. Energies are from PBE.

a b c (Å): 5.0359 5.0359 2.8275
angles (deg): 75.10 75.10 115.97
Closest atoms and distances in Å follow each position.
Atoms (fractional coordinates):
Ru (0.0000, 0.0000, 0.0000)  2 Ni 2.55, 2 Cl 2.55, 6 Ru 2.67-2.83
Ru (0.5000, 0.5000, 0.0000)  2 Cl 2.55, 2 Ni 2.55, 6 Ru 2.67-2.83
Cl (0.5000, 0.0000, 0.5000)  4 Ru 2.55, 4 Ni 2.67-2.79, 2 Cl 2.83
Ni (0.0000, 0.5000, 0.5000)  4 Ru 2.55, 4 Cl 2.67-2.79, 2 Ni 2.83

Calculated values
- Theoretical density: 8.73 g cm⁻³
- DFT total energy: -22.8 eV/cell
- Energy relative to the elements, uncorrected: 0.833 eV/atom
- Distance to the lowest polymorph of the same formula: 483 meV/atom

(4)
Here is a geometry-optimized NiRuCl structure from Alexandria. Energies are from PBE.

a b c (Å): 2.9232 2.9232 5.6940
angles (deg): 90.00 90.00 120.00
Closest atoms and distances in Å follow each position.
Atoms (fractional coordinates):
Cl (0.0000, 0.0000, 0.0148)  3 Ni 2.47, 3 Ru 2.66
Ni (0.6667, 0.3333, 0.3313)  3 Cl 2.47, 3 Ru 2.49
Ru (0.3333, 0.6667, 0.6539)  3 Ni 2.49, 3 Cl 2.66

Calculated values
- Theoretical density: 7.69 g cm⁻³
- DFT total energy: -15.6 eV/cell
- Energy relative to the elements, uncorrected: 0.419 eV/atom
- Distance to the lowest polymorph of the same formula: 0 meV/atom

(5)
Here is a geometry-optimized NiRu2Cl structure from Alexandria. Energies are from PBE.

a b c (Å): 8.2439 8.2439 8.2439
angles (deg): 19.62 19.62 19.62
Closest atoms and distances in Å follow each position.
Atoms (fractional coordinates):
Ru (0.0012, 0.0012, 0.0012)  3 Ni 2.57, 3 Cl 2.61, 6 Ru 2.81
Ru (0.4988, 0.4988, 0.4988)  3 Ni 2.57, 3 Cl 2.61, 6 Ru 2.81
Ni (0.7500, 0.7500, 0.7500)  6 Ru 2.57, 6 Ni 2.81
Cl (0.2500, 0.2500, 0.2500)  6 Ru 2.61, 6 Cl 2.81

Calculated values
- Theoretical density: 8.90 g cm⁻³
- DFT total energy: -24.0 eV/cell
- Energy relative to the elements, uncorrected: 0.540 eV/atom
- Distance to the lowest polymorph of the same formula: 190 meV/atom

(6)
Here is a geometry-optimized NiRu2Cl structure from Alexandria. Energies are from PBE.

a b c (Å): 2.9784 2.9784 6.4109
angles (deg): 90.00 90.00 90.00
Closest atoms and distances in Å follow each position.
Atoms (fractional coordinates):
Ru (0.0000, 0.0000, 0.5415)  4 Ni 2.49, 1 Ru 2.67
Ru (0.0000, 0.0000, 0.9585)  4 Ni 2.49, 1 Ru 2.67
Ni (0.5000, 0.5000, 0.7500)  8 Ru 2.49
Cl (0.5000, 0.5000, 0.2500)  8 Ru 2.82, 4 Cl 2.98

Calculated values
- Theoretical density: 8.65 g cm⁻³
- DFT total energy: -23.9 eV/cell
- Energy relative to the elements, uncorrected: 0.569 eV/atom
- Distance to the lowest polymorph of the same formula: 218 meV/atom